Entry 1:
Density functional theory data (PBE-GGA) for crystalline Cs8HAu3Cl3 at its relaxed geometry.

abc: 10.0732 10.0732 25.3589
angles: 90.00 90.00 120.00
Space group R-3m (No. 166, hexagonal axes)
Unique sites:
Cs: 0.0000 0.0000 0.2477
Cs: 0.0143 0.5072 0.2417
H: 0.0000 0.0000 0.5000
Au: 0.0000 0.5000 0.0000
Cl: 0.0000 0.5000 0.5000

## Properties
- DFT total energy (eV/cell) = -117.96
- ρ (kg/m³) = 3938

***

Entry 2:
Density functional theory data (PBE-GGA) for crystalline Tb8GaCu2 at its relaxed geometry.

abc: 8.574 13.536 5.394
angles: 90.00 107.47 90.00
Space group Cm (No. 8)
Unique sites:
Tb: 0.000 0.000 0.000
Tb: 0.094 0.376 0.782
Tb: 0.176 0.124 0.594
Tb: 0.271 0.500 0.380
Tb: 0.384 0.230 0.190
Ga: 0.385 0.000 0.205
Cu: 0.386 0.306 0.690

## Properties
- formation energy from the elements (eV/atom) = -0.059
- ρ (kg/m³) = 8165
- energy above the most stable polymorph in this dataset (meV/atom) = 119.7

***

Entry 3:
Density functional theory data (PBE-GGA) for crystalline VInB3 at its relaxed geometry.

abc: 4.066 4.066 4.066
angles: 90.00 90.00 90.00
Space group Pm-3m (No. 221)
Unique sites:
V: 0.000 0.000 0.000
In: 0.500 0.500 0.500
B: 0.000 0.000 0.500

## Properties
- formation energy from the elements (eV/atom) = 1.210
- ρ (kg/m³) = 4897
- energy above the most stable polymorph in this dataset (meV/atom) = 0.0

***

Entry 4:
Density functional theory data (PBE-GGA) for crystalline Hg2P2S at its relaxed geometry.

abc: 3.510 3.510 16.142
angles: 90.00 90.00 90.00
Space group I4/mmm (No. 139)
Unique sites:
Hg: 0.000 0.000 0.096
P: 0.000 0.500 0.250
S: 0.000 0.000 0.500

## Properties
- ρ (kg/m³) = 8270
- energy above the most stable polymorph in this dataset (meV/atom) = 54.0

***

Entry 5:
Density functional theory data (PBE-GGA) for crystalline Nd2Dy4Tm at its relaxed geometry.

abc: 5.509 5.509 17.245
angles: 90.00 90.00 90.00
Space group I4/mmm (No. 139)
Unique sites:
Nd: 0.000 0.000 0.124
Dy: 0.000 0.000 0.324
Dy: 0.000 0.500 0.000
Tm: 0.000 0.000 0.500

## Properties
- formation energy from the elements (eV/atom) = 0.660
- ρ (kg/m³) = 7026

***

Entry 6:
Density functional theory data (PBE-GGA) for crystalline LaMn2Sb at its relaxed geometry.

abc: 4.376 4.532 4.860
angles: 90.00 90.00 90.00
Space group Pmmm (No. 47)
Unique sites:
La: 0.000 0.000 0.000
Mn: 0.500 0.500 0.203
Sb: 0.000 0.500 0.500

## Properties
- DFT total energy (eV/cell) = -26.58
- ρ (kg/m³) = 6384